Crystalline GaNi2Cl at its relaxed geometry, computed with GGA-PBEsol.

Output
As for the density of states at the Fermi level: 2.5 states/eV per cell. As for the total moment: 0.00 Bohr magnetons per cell. The value obtained for the final energy is -4.21 eV per atom. The formation energy without anion corrections is 0.20 eV/atom.

Unit cell a=5.9107 b=5.9107 c=5.9107 alpha=90.00 beta=90.00 gamma=90.00
Last column: nearest neighbours and their distance in Å.
Atoms (fractional coordinates):
Ga 0.0000 0.0000 0.0000  8 Ni 2.56
Ga 0.0000 0.5000 0.5000  8 Ni 2.56
Ga 0.5000 0.0000 0.5000  8 Ni 2.56
Ga 0.5000 0.5000 0.0000  8 Ni 2.56
Ni 0.2500 0.2500 0.2500  4 Cl 2.56, 4 Ga 2.56
Ni 0.2500 0.2500 0.7500  4 Cl 2.56, 4 Ga 2.56
Ni 0.2500 0.7500 0.2500  4 Ga 2.56, 4 Cl 2.56
Ni 0.2500 0.7500 0.7500  4 Cl 2.56, 4 Ga 2.56
Ni 0.7500 0.2500 0.2500  4 Ga 2.56, 4 Cl 2.56
Ni 0.7500 0.2500 0.7500  4 Cl 2.56, 4 Ga 2.56
Ni 0.7500 0.7500 0.2500  4 Cl 2.56, 4 Ga 2.56
Ni 0.7500 0.7500 0.7500  4 Cl 2.56, 4 Ga 2.56
Cl 0.0000 0.0000 0.5000  8 Ni 2.56
Cl 0.0000 0.5000 0.0000  8 Ni 2.56
Cl 0.5000 0.0000 0.0000  8 Ni 2.56
Cl 0.5000 0.5000 0.5000  8 Ni 2.56

***

Crystalline Ir3Ru at its relaxed geometry, computed with GGA-PBEsol.

Output
As for the density of states at the Fermi level: 5.4 states/eV per cell. As for the total moment: 0.76 Bohr magnetons per cell. The value obtained for the final energy is -9.51 eV per atom.

Unit cell a=3.2876 b=3.2876 c=5.3058 alpha=90.00 beta=90.00 gamma=90.00
Last column: nearest neighbours and their distance in Å.
Atoms (fractional coordinates):
Ir 0.0000 0.0000 0.0000  2 Ru 2.65, 8 Ir 2.68
Ir 0.5000 0.5000 0.2504  6 Ir 2.65-2.68, 4 Ru 2.68
Ir 0.5000 0.5000 0.7496  6 Ir 2.65-2.68, 4 Ru 2.68
Ru 0.0000 0.0000 0.5000  10 Ir 2.65-2.68

***

Crystalline SiHg3Os at its relaxed geometry, computed with GGA-PBEsol.

Output
As for the density of states at the Fermi level: 4.5 states/eV per cell. As for the total moment: 3.05 Bohr magnetons per cell. The value obtained for the final energy is -2.43 eV per atom. The formation energy without anion corrections is 1.51 eV/atom.

Unit cell a=4.8814 b=4.8814 c=4.8814 alpha=90.00 beta=90.00 gamma=90.00
Last column: nearest neighbours and their distance in Å.
Atoms (fractional coordinates):
Si 0.0000 0.0000 0.0000  6 Hg 2.44
Hg 0.0000 0.0000 0.5000  2 Si 2.44
Hg 0.0000 0.5000 0.0000  2 Si 2.44
Hg 0.5000 0.0000 0.0000  2 Si 2.44
Os 0.5000 0.5000 0.5000  12 Hg 3.45

***

Crystalline BeZnSe2Br at its relaxed geometry, computed with GGA-PBEsol.

Output
As for the density of states at the Fermi level: 3.7 states/eV per cell. As for the total moment: 0.00 Bohr magnetons per cell. The value obtained for the final energy is -2.82 eV per atom. The formation energy without anion corrections is 0.21 eV/atom.

Unit cell a=4.6201 b=4.6201 c=4.6143 alpha=90.00 beta=90.00 gamma=90.00
Last column: nearest neighbours and their distance in Å.
Atoms (fractional coordinates):
Be 0.0000 0.0000 0.0000  2 Br 2.31, 4 Se 2.31
Zn 0.5000 0.5000 0.5000  8 Se 3.26, 4 Br 3.27
Se 0.0000 0.5000 0.0000  2 Be 2.31
Se 0.5000 0.0000 0.0000  2 Be 2.31
Br 0.0000 0.0000 0.5000  2 Be 2.31

***

Crystalline KTlAu2 at its relaxed geometry, computed with GGA-PBEsol.

Output
As for the density of states at the Fermi level: 4.7 states/eV per cell. As for the total moment: 0.00 Bohr magnetons per cell. For the energy relative to the lowest polymorph listed for this composition, the calculation gives 0 meV per atom. The value obtained for the final energy is -3.03 eV per atom.

Unit cell a=4.7178 b=4.7178 c=17.3436 alpha=90.00 beta=90.00 gamma=120.00
Last column: nearest neighbours and their distance in Å.
Atoms (fractional coordinates):
K 0.0000 0.0000 0.0000  4 Tl 3.49-3.56, 7 Au 3.52-3.56
K 0.3333 0.6667 0.6667  4 Tl 3.49-3.56, 7 Au 3.52-3.56
K 0.6667 0.3333 0.3333  4 Tl 3.49-3.56, 7 Au 3.52-3.56
Tl 0.0000 0.0000 0.7988  6 Au 2.99-3.00
Tl 0.3333 0.6667 0.4654  6 Au 2.99-3.00
Tl 0.6667 0.3333 0.1321  6 Au 2.99-3.00
Au 0.0000 0.0000 0.2051  3 Au 2.72, 3 Tl 3.00
Au 0.0000 0.0000 0.5364  3 Au 2.72, 3 Tl 2.99
Au 0.3333 0.6667 0.2030  3 Au 2.72, 3 Tl 2.99
Au 0.3333 0.6667 0.8717  3 Au 2.72, 3 Tl 3.00
Au 0.6667 0.3333 0.5384  3 Au 2.72, 3 Tl 3.00
Au 0.6667 0.3333 0.8697  3 Au 2.72, 3 Tl 2.99

***

Crystalline Be2Al2Tl at its relaxed geometry, computed with GGA-PBEsol.

Output
As for the density of states at the Fermi level: 2.9 states/eV per cell. As for the total moment: 0.00 Bohr magnetons per cell. The value obtained for the final energy is -3.31 eV per atom.

Unit cell a=3.8071 b=3.8071 c=11.5195 alpha=90.00 beta=90.00 gamma=90.00
Last column: nearest neighbours and their distance in Å.
Atoms (fractional coordinates):
Be 0.0000 0.5000 0.2500  4 Al 2.44, 4 Be 2.69
Be 0.0000 0.5000 0.7500  4 Al 2.44, 4 Be 2.69
Be 0.5000 0.0000 0.2500  4 Al 2.44, 4 Be 2.69
Be 0.5000 0.0000 0.7500  4 Al 2.44, 4 Be 2.69
Al 0.0000 0.0000 0.1173  4 Be 2.44, 1 Al 2.70
Al 0.0000 0.0000 0.8827  4 Be 2.44, 1 Al 2.70
Al 0.5000 0.5000 0.3827  4 Be 2.44, 1 Al 2.70
Al 0.5000 0.5000 0.6173  4 Be 2.44, 1 Al 2.70
Tl 0.0000 0.0000 0.5000  8 Al 3.01
Tl 0.5000 0.5000 0.0000  8 Al 3.01

***

Crystalline Na5Bi2As5O18 at its relaxed geometry, computed with GGA-PBEsol.

Output
As for the density of states at the Fermi level: 0.0 states/eV per cell. As for the total moment: 0.00 Bohr magnetons per cell. The value obtained for the final energy is -6.01 eV per atom. The formation energy without anion corrections is -1.49 eV/atom.

Unit cell a=7.0716 b=10.0927 c=12.1496 alpha=97.45 beta=92.41 gamma=90.79
Last column: nearest neighbours and their distance in Å.
Atoms (fractional coordinates):
Na 0.0174 0.0671 0.3743  5 O 2.25-2.47
Na 0.0850 0.2209 0.1533  5 O 2.36-2.50
Na 0.2307 0.8752 0.1419  3 O 2.21-2.31
Na 0.3325 0.3925 0.3814  5 O 2.30-2.46
Na 0.4723 0.7305 0.9029  5 O 2.32-2.51
Na 0.5277 0.2695 0.0971  5 O 2.32-2.51
Na 0.6675 0.6075 0.6186  5 O 2.30-2.46
Na 0.7693 0.1248 0.8581  3 O 2.21-2.31
Na 0.9150 0.7791 0.8467  5 O 2.36-2.50
Na 0.9826 0.9329 0.6257  5 O 2.25-2.47
Bi 0.2318 0.3758 0.8953  6 O 2.23-2.49
Bi 0.3259 0.7653 0.4385  6 O 2.31-2.42
Bi 0.6741 0.2347 0.5615  6 O 2.31-2.42
Bi 0.7682 0.6242 0.1047  6 O 2.23-2.49
As 0.1716 0.5814 0.6587  4 O 1.68-1.82
As 0.1772 0.2628 0.6087  4 O 1.69-1.78
As 0.2243 0.0217 0.8914  4 O 1.68-1.79
As 0.2820 0.5736 0.1602  4 O 1.71-1.73
As 0.4891 0.0650 0.3044  4 O 1.68-1.78
As 0.5109 0.9350 0.6956  4 O 1.68-1.78
As 0.7180 0.4264 0.8398  4 O 1.71-1.73
As 0.7757 0.9783 0.1086  4 O 1.68-1.79
As 0.8228 0.7372 0.3913  4 O 1.69-1.78
As 0.8284 0.4186 0.3413  4 O 1.68-1.82
O 0.0047 0.8442 0.4369  1 As 1.70
O 0.0106 0.3139 0.3380  1 As 1.68
O 0.0265 0.9956 0.8095  1 As 1.68
O 0.0640 0.4188 0.6088  2 As 1.78-1.82
O 0.0873 0.6715 0.1510  1 As 1.71
O 0.2328 0.1771 0.9703  1 As 1.73
O 0.2384 0.4119 0.1023  1 As 1.71
O 0.2563 0.8920 0.9632  1 As 1.68
O 0.2698 0.5673 0.7871  1 As 1.70
O 0.2718 0.2452 0.7359  1 As 1.69
O 0.3219 0.9087 0.6031  1 As 1.71
O 0.3231 0.9567 0.3420  1 As 1.71
O 0.3310 0.5994 0.5588  1 As 1.72
O 0.3533 0.2480 0.5165  1 As 1.70
O 0.3565 0.5821 0.2965  1 As 1.71
O 0.3930 0.1996 0.2578  1 As 1.68
O 0.4364 0.0347 0.8175  2 As 1.78-1.79
O 0.4451 0.6436 0.0816  1 As 1.73
O 0.5549 0.3564 0.9184  1 As 1.73
O 0.5636 0.9653 0.1825  2 As 1.78-1.79
O 0.6070 0.8004 0.7422  1 As 1.68
O 0.6435 0.4179 0.7035  1 As 1.71
O 0.6467 0.7520 0.4835  1 As 1.70
O 0.6690 0.4006 0.4412  1 As 1.72
O 0.6769 0.0433 0.6580  1 As 1.71
O 0.6781 0.0913 0.3969  1 As 1.71
O 0.7282 0.7548 0.2641  1 As 1.69
O 0.7302 0.4327 0.2129  1 As 1.70
O 0.7437 0.1080 0.0368  1 As 1.68
O 0.7616 0.5881 0.8977  1 As 1.71
O 0.7672 0.8229 0.0297  1 As 1.73
O 0.9127 0.3285 0.8490  1 As 1.71
O 0.9360 0.5812 0.3912  2 As 1.78-1.82
O 0.9735 0.0044 0.1905  1 As 1.68
O 0.9894 0.6861 0.6620  1 As 1.68
O 0.9953 0.1558 0.5631  1 As 1.70

***

Crystalline Y2NiCl at its relaxed geometry, computed with GGA-PBEsol.

Output
As for the density of states at the Fermi level: 2.7 states/eV per cell. As for the total moment: 0.00 Bohr magnetons per cell. For the energy relative to the lowest polymorph listed for this composition, the calculation gives 82 meV per atom. The value obtained for the final energy is -6.30 eV per atom. The formation energy without anion corrections is -0.85 eV/atom.

Unit cell a=3.3406 b=3.3767 c=7.7919 alpha=90.00 beta=90.00 gamma=90.00
Last column: nearest neighbours and their distance in Å.
Atoms (fractional coordinates):
Y 0.0000 0.0000 0.2070  2 Cl 2.83, 4 Ni 2.87
Y 0.0000 0.0000 0.7930  2 Cl 2.83, 4 Ni 2.87
Ni 0.5000 0.5000 0.0000  8 Y 2.87
Cl 0.5000 0.0000 0.5000  4 Y 2.83

***

Please write out number 3 again, unchanged.
Crystalline SiHg3Os at its relaxed geometry, computed with GGA-PBEsol.

Output
As for the density of states at the Fermi level: 4.5 states/eV per cell. As for the total moment: 3.05 Bohr magnetons per cell. The value obtained for the final energy is -2.43 eV per atom. The formation energy without anion corrections is 1.51 eV/atom.

Unit cell a=4.8814 b=4.8814 c=4.8814 alpha=90.00 beta=90.00 gamma=90.00
Last column: nearest neighbours and their distance in Å.
Atoms (fractional coordinates):
Si 0.0000 0.0000 0.0000  6 Hg 2.44
Hg 0.0000 0.0000 0.5000  2 Si 2.44
Hg 0.0000 0.5000 0.0000  2 Si 2.44
Hg 0.5000 0.0000 0.0000  2 Si 2.44
Os 0.5000 0.5000 0.5000  12 Hg 3.45

***

Which of these has the highest final energy? SiHg3Os

***

Repeat the sixth record exactly.
Crystalline Be2Al2Tl at its relaxed geometry, computed with GGA-PBEsol.

Output
As for the density of states at the Fermi level: 2.9 states/eV per cell. As for the total moment: 0.00 Bohr magnetons per cell. The value obtained for the final energy is -3.31 eV per atom.

Unit cell a=3.8071 b=3.8071 c=11.5195 alpha=90.00 beta=90.00 gamma=90.00
Last column: nearest neighbours and their distance in Å.
Atoms (fractional coordinates):
Be 0.0000 0.5000 0.2500  4 Al 2.44, 4 Be 2.69
Be 0.0000 0.5000 0.7500  4 Al 2.44, 4 Be 2.69
Be 0.5000 0.0000 0.2500  4 Al 2.44, 4 Be 2.69
Be 0.5000 0.0000 0.7500  4 Al 2.44, 4 Be 2.69
Al 0.0000 0.0000 0.1173  4 Be 2.44, 1 Al 2.70
Al 0.0000 0.0000 0.8827  4 Be 2.44, 1 Al 2.70
Al 0.5000 0.5000 0.3827  4 Be 2.44, 1 Al 2.70
Al 0.5000 0.5000 0.6173  4 Be 2.44, 1 Al 2.70
Tl 0.0000 0.0000 0.5000  8 Al 3.01
Tl 0.5000 0.5000 0.0000  8 Al 3.01